(1)
! Sm2YCo, relaxed, DFT PBE-GGA; values from VASP
! Energy of formation from the pure elements (eV per atom): -0.09
! M_tot (μB/cell): 0.00
! ΔE to the lowest computed polymorph (meV/atom): 24.1
! Symmetry: No. 63
&SYSTEM
  ibrav = 0, nat = 8, ntyp = 3
/
ATOMIC_SPECIES
Sm 150.36 Sm.upf
Y 88.91 Y.upf
Co 58.93 Co.upf
CELL_PARAMETERS angstrom
-0.8552 -3.2950 1.5542
3.4412 3.1682 4.1036
-8.0561 3.8687 3.7689
ATOMIC_POSITIONS angstrom
Sm -2.6108 2.0761 2.9607
Sm -2.8593 1.6658 6.4661
Sm -5.7205 3.0398 7.8047
Sm 0.2504 0.7021 1.6221
Y 0.4673 2.2186 4.9615
Y -5.9374 1.5233 4.4652
Co -1.0150 0.0395 4.0299
Co -4.4551 3.7024 5.3969

(2)
! Hg8I, relaxed, DFT PBE-GGA; values from VASP
! M_tot (μB/cell): 0.00
! ΔE to the lowest computed polymorph (meV/atom): 13.5
! Symmetry: No. 139
! ΔE_f (raw) (kJ/mol of formula units): -9
&SYSTEM
  ibrav = 0, nat = 9, ntyp = 2
/
ATOMIC_SPECIES
Hg 200.59 Hg.upf
I 126.90 I.upf
CELL_PARAMETERS angstrom
-0.2194 -2.5421 -5.4113
0.0139 -7.4157 0.1759
-6.8920 -1.2772 -2.4277
ATOMIC_POSITIONS angstrom
Hg -2.4063 -1.2731 -2.6115
Hg -4.7051 -2.5461 -5.2275
Hg -2.4914 -4.6408 -4.3332
Hg -0.0679 -3.3518 -1.7299
Hg -4.5356 -3.3717 -1.5393
Hg -0.1377 -6.6060 -3.5055
Hg -4.6060 -6.5942 -3.3298
Hg -2.3424 -5.3212 -0.7125
I 0.0000 0.0000 0.0000

(3)
! TbSm6Y8, relaxed, DFT PBE-GGA; values from VASP
! Energy of formation from the pure elements (eV per atom): 0.12
! M_tot (μB/cell): 0.00
! ΔE to the lowest computed polymorph (meV/atom): 0.0
! Symmetry: No. 148
&SYSTEM
  ibrav = 0, nat = 15, ntyp = 3
/
ATOMIC_SPECIES
Tb 158.93 Tb.upf
Sm 150.36 Sm.upf
Y 88.91 Y.upf
CELL_PARAMETERS angstrom
7.8994 0.0000 4.5492
2.6397 7.4453 4.5492
0.2344 0.1656 8.7259
ATOMIC_POSITIONS angstrom
Tb 0.0000 0.0000 0.0000
Sm 2.2894 4.0361 4.0437
Sm 8.6648 6.8018 15.1976
Sm 5.8825 5.8937 13.2258
Sm 4.8910 1.7171 4.5985
Sm 2.1087 0.8090 2.6268
Sm 8.4841 3.5748 13.7807
Y 7.8999 2.1906 10.3603
Y 6.2969 0.8972 7.5953
Y 7.7488 5.6351 10.3590
Y 4.6285 3.2698 10.2288
Y 6.1450 4.3411 7.5955
Y 3.0247 1.9757 7.4653
Y 4.4766 6.7137 10.2290
Y 2.8737 5.4203 7.4640

(4)
! Pm2ZnGaPt6, relaxed, DFT PBE-GGA; values from VASP
! Energy of formation from the pure elements (eV per atom): -0.79
! M_tot (μB/cell): 0.00
! Symmetry: No. 12
&SYSTEM
  ibrav = 0, nat = 10, ntyp = 4
/
ATOMIC_SPECIES
Pm 145.00 Pm.upf
Zn 65.41 Zn.upf
Ga 69.72 Ga.upf
Pt 195.08 Pt.upf
CELL_PARAMETERS angstrom
8.5407 -0.0601 0.1621
0.0367 5.4734 0.0658
4.1745 2.6558 4.3951
ATOMIC_POSITIONS angstrom
Pm 4.5531 5.4172 2.2521
Pm 8.1989 2.6519 2.3709
Zn 4.2887 2.7066 0.1140
Ga 0.0000 0.0000 0.0000
Pt 6.3094 6.7353 4.3634
Pt 6.4611 4.0458 0.2939
Pt 2.8480 2.6900 2.2222
Pt 6.4426 1.3338 0.2597
Pt 6.2909 4.0233 4.3291
Pt 9.9039 5.3791 2.4008

(5)
! Cu2Sb2I, relaxed, DFT PBE-GGA; values from VASP
! M_tot (μB/cell): 0.00
! ΔE to the lowest computed polymorph (meV/atom): 22.0
! Symmetry: No. 139
! ΔE_f (raw) (kJ/mol of formula units): 152
&SYSTEM
  ibrav = 0, nat = 5, ntyp = 3
/
ATOMIC_SPECIES
I 126.90 I.upf
Sb 121.76 Sb.upf
Cu 63.55 Cu.upf
CELL_PARAMETERS angstrom
-4.6139 -0.2629 0.4755
0.2647 -4.6382 0.0046
-1.5260 -2.4073 6.5569
ATOMIC_POSITIONS angstrom
I 0.0000 0.0000 0.0000
Sb -4.1573 -2.5604 3.6362
Sb -1.7180 -4.7480 3.4008
Cu -1.9791 -2.4375 2.1437
Cu -3.8961 -4.8709 4.8933

(6)
! NaYCuPb, relaxed, DFT PBE-GGA; values from VASP
! Energy of formation from the pure elements (eV per atom): -0.11
! M_tot (μB/cell): 0.00
! Symmetry: No. 216
&SYSTEM
  ibrav = 0, nat = 4, ntyp = 4
/
ATOMIC_SPECIES
Pb 207.20 Pb.upf
Y 88.91 Y.upf
Cu 63.55 Cu.upf
Na 22.99 Na.upf
CELL_PARAMETERS angstrom
5.1396 0.0000 0.0000
2.5698 4.4511 0.0000
2.5698 1.4837 4.1965
ATOMIC_POSITIONS angstrom
Pb 7.7095 4.4511 3.1474
Y 5.1396 2.9674 2.0983
Cu 2.5698 1.4837 1.0491
Na 0.0000 0.0000 0.0000

(7)
! Pm3SmPt, relaxed, DFT PBE-GGA; values from VASP
! Energy of formation from the pure elements (eV per atom): -0.36
! M_tot (μB/cell): 0.00
! ΔE to the lowest computed polymorph (meV/atom): 123.4
! Symmetry: No. 31
&SYSTEM
  ibrav = 0, nat = 10, ntyp = 3
/
ATOMIC_SPECIES
Pm 145.00 Pm.upf
Sm 150.36 Sm.upf
Pt 195.08 Pt.upf
CELL_PARAMETERS angstrom
6.2319 -0.0001 -0.0001
0.0003 6.8505 -0.0021
0.0001 -0.0002 7.8737
ATOMIC_POSITIONS angstrom
Pm 2.6014 2.2579 1.5814
Pm 2.6453 5.9922 7.5111
Pm 5.7595 3.2745 3.5760
Pm 5.7176 0.1586 5.5165
Pm 5.7611 3.2745 7.4581
Pm 2.6444 5.9924 3.5195
Sm 2.6836 2.2036 5.5183
Sm 5.7996 0.2129 1.5796
Pt 1.1310 4.6231 5.5159
Pt 4.2470 4.6438 1.5792

(8)
! K2BaNpSe4, relaxed, DFT PBE-GGA; values from VASP
! M_tot (μB/cell): 3.00
! Symmetry: No. 10
! ΔE_f (raw) (kJ/mol of formula units): -1088
&SYSTEM
  ibrav = 0, nat = 8, ntyp = 4
/
ATOMIC_SPECIES
K 39.10 K.upf
Ba 137.33 Ba.upf
Np 237.00 Np.upf
Se 78.96 Se.upf
CELL_PARAMETERS angstrom
-2.6574 -0.2707 -3.5604
5.8774 -3.7039 -4.1052
-0.6780 -7.8027 1.0993
ATOMIC_POSITIONS angstrom
K -0.6780 -7.8027 1.0993
K -1.6677 -4.0367 -1.2306
Ba 1.6100 -1.9873 -3.8328
Np 2.5997 -5.7533 -1.5029
Se 3.7081 -8.2608 -2.1396
Se -1.1661 -3.5165 -4.4267
Se 2.6116 -5.0348 -4.3487
Se -0.0697 -6.7425 -2.2176